(1)
First-principles (PBE) data for a relaxed Rb4TeAu crystal, as listed in Alexandria via LeMat-Bulk.

Unit cell a=8.362 b=9.841 c=9.841 alpha=109.26 beta=109.83 gamma=109.83
Sites, in units of the cell vectors:
Rb: 0.744 0.248 0.355
Au: 0.750 0.005 0.995
Rb: 0.756 0.645 0.752
Te: 0.750 0.633 0.367
Au: 0.250 0.995 0.005
Rb: 0.083 0.942 0.304
Te: 0.250 0.367 0.633
Rb: 0.417 0.696 0.058
Rb: 0.256 0.752 0.645
Rb: 0.917 0.058 0.696
Rb: 0.583 0.304 0.942
Rb: 0.244 0.355 0.248

Summary:
Its space group is C2/c (15). For the uncorrected formation energy, the calculation gives -566 meV/atom.

---

(2)
First-principles (PBE) data for a relaxed Rb6TeAu3 crystal, as listed in Alexandria via LeMat-Bulk.

Unit cell a=5.185 b=11.957 c=14.760 alpha=108.47 beta=90.00 gamma=90.00
Sites, in units of the cell vectors:
Rb: 0.250 0.505 0.119
Rb: 0.250 0.186 0.861
Au: 0.750 0.226 0.027
Rb: 0.250 0.086 0.145
Rb: 0.250 0.307 0.469
Au: 0.750 0.647 0.288
Rb: 0.250 0.637 0.720
Rb: 0.750 0.914 0.855
Te: 0.750 0.086 0.335
Rb: 0.250 0.880 0.389
Rb: 0.750 0.495 0.881
Rb: 0.750 0.363 0.280
Rb: 0.750 0.120 0.611
Rb: 0.750 0.814 0.139
Au: 0.250 0.563 0.357
Au: 0.750 0.437 0.643
Te: 0.250 0.914 0.665
Rb: 0.750 0.693 0.531
Au: 0.250 0.774 0.973
Au: 0.250 0.353 0.712

Summary:
Its space group is P2_1/m (11). For the uncorrected formation energy, the calculation gives -450 meV/atom.

---

(3)
First-principles (PBE) data for a relaxed Rb2Te2Au3 crystal, as listed in Alexandria via LeMat-Bulk.

Unit cell a=8.963 b=8.962 c=8.964 alpha=109.48 beta=109.48 gamma=109.47
Sites, in units of the cell vectors:
Rb: 0.000 0.500 0.000
Au: 0.728 0.750 0.979
Te: 0.000 0.999 0.990
Te: 0.501 0.991 0.501
Au: 0.772 0.250 0.521
Au: 0.478 0.229 0.750
Te: 0.489 0.500 0.000
Te: 0.010 0.510 0.509
Rb: 0.499 0.999 0.999
Au: 0.251 0.979 0.229
Au: 0.022 0.271 0.250
Au: 0.749 0.521 0.271
Rb: 0.000 0.000 0.501
Rb: 0.500 0.501 0.500

Summary:
Its space group is R3 (146). For the uncorrected formation energy, the calculation gives -423 meV/atom.

---

| no. | volume (Å³/f.u.) |
| --- | --- |
| 1 | 309.7 |
| 2 | 433.9 |
| 3 | 277.1 |